*1*
# Dy6CdRu2 (PBE, optimized geometry)
data_Dy6CdRu2
_symmetry_space_group_name_H-M 'P 1'
_symmetry_Int_Tables_number 1
_symmetry_space_group_name_Hall 'P 1'
_cell_length_a 5.039
_cell_length_b 5.634
_cell_length_c 9.308
_cell_angle_alpha 79.94
_cell_angle_beta 90.00
_cell_angle_gamma 116.57
loop_
_atom_site_label
_atom_site_type_symbol
_atom_site_fract_x
_atom_site_fract_y
_atom_site_fract_z
_atom_site_occupancy
Dy1 Dy 0.964 0.928 0.841 1
Dy2 Dy 0.718 0.435 0.158 1
Dy3 Dy 0.282 0.565 0.842 1
Dy4 Dy 0.661 0.322 0.616 1
Dy5 Dy 0.339 0.678 0.384 1
Dy6 Dy 0.036 0.072 0.159 1
Cd1 Cd 0.000 0.000 0.500 1
Ru1 Ru 0.611 0.223 0.903 1
Ru2 Ru 0.389 0.777 0.097 1
# **Spin magnetization**: 0.000 μB/f.u.
# **V**: 25.76 Å³ per atom

*2*
# Dy6CdRu2 (PBE, optimized geometry)
data_Dy6CdRu2
_symmetry_space_group_name_H-M 'P 1'
_symmetry_Int_Tables_number 1
_symmetry_space_group_name_Hall 'P 1'
_cell_length_a 8.475
_cell_length_b 8.475
_cell_length_c 8.475
_cell_angle_alpha 103.58
_cell_angle_beta 112.04
_cell_angle_gamma 112.95
loop_
_atom_site_label
_atom_site_type_symbol
_atom_site_fract_x
_atom_site_fract_y
_atom_site_fract_z
_atom_site_occupancy
Dy1 Dy 0.532 0.715 0.817 1
Dy2 Dy 0.468 0.285 0.183 1
Dy3 Dy 0.103 0.285 0.817 1
Dy4 Dy 0.897 0.715 0.183 1
Dy5 Dy 0.797 0.759 0.557 1
Dy6 Dy 0.203 0.241 0.443 1
Dy7 Dy 0.203 0.759 0.962 1
Dy8 Dy 0.797 0.241 0.038 1
Dy9 Dy 0.687 0.358 0.671 1
Dy10 Dy 0.313 0.642 0.329 1
Dy11 Dy 0.313 0.985 0.671 1
Dy12 Dy 0.687 0.015 0.329 1
Cd1 Cd 0.000 0.500 0.500 1
Cd2 Cd 0.000 0.000 0.000 1
Ru1 Ru 0.500 0.373 0.873 1
Ru2 Ru 0.500 0.627 0.127 1
Ru3 Ru 0.677 0.000 0.677 1
Ru4 Ru 0.323 0.000 0.323 1
# **Spin magnetization**: 0.000 μB/f.u.
# **V**: 25.82 Å³ per atom

Most stable: *2* (next structure +114 meV per atom)

*1*
# SmDyCdRu (PBE, optimized geometry)
data_SmDyCdRu
_symmetry_space_group_name_H-M 'P 1'
_symmetry_Int_Tables_number 1
_symmetry_space_group_name_Hall 'P 1'
_cell_length_a 5.083
_cell_length_b 5.083
_cell_length_c 5.083
_cell_angle_alpha 60.00
_cell_angle_beta 60.00
_cell_angle_gamma 60.00
loop_
_atom_site_label
_atom_site_type_symbol
_atom_site_fract_x
_atom_site_fract_y
_atom_site_fract_z
_atom_site_occupancy
Ru1 Ru 0.750 0.750 0.750 1
Cd1 Cd 0.250 0.250 0.250 1
Sm1 Sm 0.000 0.000 0.000 1
Dy1 Dy 0.500 0.500 0.500 1
# **Spin magnetization**: 0.000 μB/f.u.
# **V**: 23.22 Å³ per atom

*2*
# SmDyCdRu (PBE, optimized geometry)
data_SmDyCdRu
_symmetry_space_group_name_H-M 'P 1'
_symmetry_Int_Tables_number 1
_symmetry_space_group_name_Hall 'P 1'
_cell_length_a 3.496
_cell_length_b 3.496
_cell_length_c 7.775
_cell_angle_alpha 90.00
_cell_angle_beta 90.00
_cell_angle_gamma 90.00
loop_
_atom_site_label
_atom_site_type_symbol
_atom_site_fract_x
_atom_site_fract_y
_atom_site_fract_z
_atom_site_occupancy
Sm1 Sm 0.500 0.500 0.786 1
Dy1 Dy 0.500 0.500 0.356 1
Cd1 Cd 0.000 0.000 0.079 1
Ru1 Ru 0.000 0.000 0.564 1
# **Spin magnetization**: 0.000 μB/f.u.
# **V**: 23.75 Å³ per atom

Most stable: *2* (next structure +103 meV per atom)

*1*
# DyYCdRu (PBE, optimized geometry)
data_DyYCdRu
_symmetry_space_group_name_H-M 'P 1'
_symmetry_Int_Tables_number 1
_symmetry_space_group_name_Hall 'P 1'
_cell_length_a 3.473
_cell_length_b 3.473
_cell_length_c 7.660
_cell_angle_alpha 90.00
_cell_angle_beta 90.00
_cell_angle_gamma 90.00
loop_
_atom_site_label
_atom_site_type_symbol
_atom_site_fract_x
_atom_site_fract_y
_atom_site_fract_z
_atom_site_occupancy
Dy1 Dy 0.500 0.500 0.356 1
Y1 Y 0.500 0.500 0.788 1
Cd1 Cd 0.000 0.000 0.072 1
Ru1 Ru 0.000 0.000 0.569 1
# **Spin magnetization**: 0.000 μB/f.u.
# **V**: 23.10 Å³ per atom

*2*
# DyYCdRu (PBE, optimized geometry)
data_DyYCdRu
_symmetry_space_group_name_H-M 'P 1'
_symmetry_Int_Tables_number 1
_symmetry_space_group_name_Hall 'P 1'
_cell_length_a 5.038
_cell_length_b 5.038
_cell_length_c 5.038
_cell_angle_alpha 60.00
_cell_angle_beta 60.00
_cell_angle_gamma 60.00
loop_
_atom_site_label
_atom_site_type_symbol
_atom_site_fract_x
_atom_site_fract_y
_atom_site_fract_z
_atom_site_occupancy
Y1 Y 0.500 0.500 0.500 1
Ru1 Ru 0.750 0.750 0.750 1
Cd1 Cd 0.250 0.250 0.250 1
Dy1 Dy 0.000 0.000 0.000 1
# **Spin magnetization**: 0.000 μB/f.u.
# **V**: 22.60 Å³ per atom

Most stable: *1* (next structure +108 meV per atom)

*1*
# Dy3CdS (PBE, optimized geometry)
data_Dy3CdS
_symmetry_space_group_name_H-M 'P 1'
_symmetry_Int_Tables_number 1
_symmetry_space_group_name_Hall 'P 1'
_cell_length_a 3.878
_cell_length_b 9.074
_cell_length_c 14.872
_cell_angle_alpha 90.00
_cell_angle_beta 90.00
_cell_angle_gamma 90.00
loop_
_atom_site_label
_atom_site_type_symbol
_atom_site_fract_x
_atom_site_fract_y
_atom_site_fract_z
_atom_site_occupancy
Dy1 Dy 0.750 0.208 0.284 1
Dy2 Dy 0.250 0.665 0.983 1
Dy3 Dy 0.250 0.027 0.110 1
Dy4 Dy 0.250 0.527 0.390 1
Dy5 Dy 0.250 0.165 0.517 1
Dy6 Dy 0.750 0.473 0.610 1
Dy7 Dy 0.250 0.292 0.784 1
Dy8 Dy 0.750 0.973 0.890 1
Dy9 Dy 0.750 0.335 0.017 1
Dy10 Dy 0.750 0.708 0.216 1
Dy11 Dy 0.750 0.835 0.483 1
Dy12 Dy 0.250 0.792 0.716 1
Cd1 Cd 0.250 0.932 0.324 1
Cd2 Cd 0.750 0.068 0.676 1
Cd3 Cd 0.750 0.568 0.824 1
Cd4 Cd 0.250 0.432 0.176 1
S1 S 0.250 0.663 0.553 1
S2 S 0.750 0.337 0.447 1
S3 S 0.750 0.837 0.053 1
S4 S 0.250 0.163 0.947 1
# **Spin magnetization**: 0.000 μB/f.u.
# **V**: 26.17 Å³ per atom

*2*
# Dy3CdS (PBE, optimized geometry)
data_Dy3CdS
_symmetry_space_group_name_H-M 'P 1'
_symmetry_Int_Tables_number 1
_symmetry_space_group_name_Hall 'P 1'
_cell_length_a 5.177
_cell_length_b 5.177
_cell_length_c 5.177
_cell_angle_alpha 90.00
_cell_angle_beta 90.00
_cell_angle_gamma 90.00
loop_
_atom_site_label
_atom_site_type_symbol
_atom_site_fract_x
_atom_site_fract_y
_atom_site_fract_z
_atom_site_occupancy
S1 S 0.000 0.000 0.000 1
Cd1 Cd 0.500 0.500 0.500 1
Dy1 Dy 0.000 0.500 0.000 1
Dy2 Dy 0.000 0.000 0.500 1
Dy3 Dy 0.500 0.000 0.000 1
# **Spin magnetization**: 0.000 μB/f.u.
# **V**: 27.74 Å³ per atom

Most stable: *1* (next structure +141 meV per atom)